[1]
The following is a PBE-GGA calculation of a relaxed Zr2AgHIr crystal, from Alexandria via LeMat-Bulk.

Unit cell a=4.3826 b=4.3826 c=4.0213 alpha=90.00 beta=90.00 gamma=90.00
Fractional positions:
Zr  0.0000  0.5000  0.0000
Zr  0.5000  0.0000  0.0000
Ag  0.0000  0.0000  0.5000
H  0.0000  0.0000  0.0000
Ir  0.5000  0.5000  0.5000

Results
Electronic total energy, eV per cell: -33.625
SG: P4/mmm
Energy relative to the lowest polymorph listed for this composition, eV per atom: 0.031

---

[2]
The following is a PBE-GGA calculation of a relaxed TbTc4B2 crystal, from Alexandria via LeMat-Bulk.

Unit cell a=7.0498 b=7.0498 c=3.7721 alpha=90.00 beta=90.00 gamma=148.85
Fractional positions:
Tb  0.0000  0.0000  0.0000
Tc  0.1735  0.8265  0.5000
Tc  0.3183  0.6817  0.0000
Tc  0.6817  0.3183  0.0000
Tc  0.8265  0.1735  0.5000
B  0.4291  0.5709  0.5000
B  0.5709  0.4291  0.5000

Results
Electronic total energy, eV per cell: -60.439
SG: Cmmm
ΔH_f (0 K), meV/atom: -141